A relaxed Mn2Be crystal, computed with PBE-GGA.

## Properties
**E_tot**: -7.214 eV per atom
**Mass density**: 6.52 Mg/m³
**DOS at the Fermi energy**: 7.33 states/eV per cell

```
Mn2Be
1.0
2.392 0.000 0.000
0.000 4.022 0.000
0.000 0.000 6.295
Mn Be
4 2
direct
0.000 0.000 0.176 Mn
0.000 0.000 0.824 Mn
0.500 0.500 0.324 Mn
0.500 0.500 0.676 Mn
0.000 0.500 0.000 Be
0.500 0.000 0.500 Be
```



A relaxed NaAs2SeBr crystal, computed with PBE-GGA.

## Properties
**E_tot**: -2.196 eV per atom
**Uncorrected formation energy**: 959 meV/atom
**Mass density**: 4.00 Mg/m³
**DOS at the Fermi energy**: 8.59 states/eV per cell

```
NaAs2SeBr
1.0
5.278 0.000 0.000
0.000 5.278 0.000
0.000 0.000 4.942
Na As Se Br
1 2 1 1
direct
0.000 0.000 0.000 Na
0.000 0.500 0.000 As
0.500 0.000 0.000 As
0.000 0.000 0.500 Se
0.500 0.500 0.500 Br
```



A relaxed KBaTlGa crystal, computed with PBE-GGA.

## Properties
**E_tot**: -2.190 eV per atom
**Mass density**: 5.60 Mg/m³
**DOS at the Fermi energy**: 11.38 states/eV per cell

```
KBaTlGa
1.0
8.114 0.000 0.000
0.000 8.114 0.000
0.000 0.000 8.114
K Ba Tl Ga
4 4 4 4
direct
0.000 0.000 0.000 K
0.000 0.500 0.500 K
0.500 0.000 0.500 K
0.500 0.500 0.000 K
0.250 0.250 0.750 Ba
0.250 0.750 0.250 Ba
0.750 0.250 0.250 Ba
0.750 0.750 0.750 Ba
0.250 0.250 0.250 Tl
0.250 0.750 0.750 Tl
0.750 0.250 0.750 Tl
0.750 0.750 0.250 Tl
0.000 0.000 0.500 Ga
0.000 0.500 0.000 Ga
0.500 0.000 0.000 Ga
0.500 0.500 0.500 Ga
```



A relaxed Re2PCl crystal, computed with PBE-GGA.

## Properties
**E_tot**: -7.560 eV per atom
**Uncorrected formation energy**: 479 meV/atom
**Mass density**: 10.27 Mg/m³
**DOS at the Fermi energy**: 7.77 states/eV per cell

```
Re2PCl
1.0
2.867 0.000 0.000
0.000 5.006 0.000
0.000 0.000 9.883
Re P Cl
4 2 2
direct
0.000 0.000 0.000 Re
0.000 0.500 0.230 Re
0.500 0.000 0.230 Re
0.500 0.500 0.000 Re
0.000 0.500 0.802 P
0.500 0.000 0.802 P
0.000 0.000 0.432 Cl
0.500 0.500 0.432 Cl
```



A relaxed NaZnIn2 crystal, computed with PBE-GGA.

## Properties
**E_tot**: -2.024 eV per atom
**Mass density**: 5.67 Mg/m³
**DOS at the Fermi energy**: 1.21 states/eV per cell

```
NaZnIn2
1.0
4.564 0.000 0.000
0.000 4.564 0.000
0.000 0.000 4.472
Na Zn In
1 1 2
direct
0.000 0.000 0.000 Na
0.500 0.500 0.000 Zn
0.000 0.500 0.500 In
0.500 0.000 0.500 In
```



A relaxed BaSb2Au crystal, computed with PBE-GGA.

## Properties
**E_tot**: -3.661 eV per atom
**Uncorrected formation energy**: -300 meV/atom
**Mass density**: 8.09 Mg/m³
**DOS at the Fermi energy**: 5.25 states/eV per cell

```
BaSb2Au
1.0
5.146 0.000 0.000
0.000 5.146 0.000
0.000 0.000 8.959
Ba Sb Au
2 4 2
direct
0.000 0.000 0.000 Ba
0.500 0.500 0.500 Ba
0.000 0.000 0.500 Sb
0.000 0.500 0.750 Sb
0.500 0.000 0.250 Sb
0.500 0.500 0.000 Sb
0.000 0.500 0.250 Au
0.500 0.000 0.750 Au
```



A relaxed Nd2Al4GaIr3 crystal, computed with PBE-GGA.

## Properties
**E_tot**: -6.160 eV per atom
**Mass density**: 9.11 Mg/m³
**DOS at the Fermi energy**: 7.18 states/eV per cell

```
Nd2Al4GaIr3
1.0
4.178 0.000 0.000
0.000 4.178 0.000
0.000 0.000 10.883
Nd Al Ga Ir
2 4 1 3
direct
0.000 0.500 0.247 Nd
0.500 0.000 0.753 Nd
0.000 0.000 0.000 Al
0.000 0.500 0.636 Al
0.500 0.000 0.364 Al
0.500 0.500 0.000 Al
0.000 0.000 0.500 Ga
0.000 0.500 0.868 Ir
0.500 0.000 0.132 Ir
0.500 0.500 0.500 Ir
```



A relaxed Mg2Ga crystal, computed with PBE-GGA.

## Properties
**E_tot**: -2.163 eV per atom
**Mass density**: 3.15 Mg/m³
**DOS at the Fermi energy**: 3.75 states/eV per cell

```
Mg2Ga
1.0
10.686 0.000 0.000
0.000 3.173 0.000
-3.102 0.000 7.367
Mg Ga
8 4
direct
0.001 0.000 0.208 Mg
0.158 0.500 0.582 Mg
0.342 0.000 0.418 Mg
0.499 0.500 0.792 Mg
0.501 0.500 0.208 Mg
0.658 0.000 0.582 Mg
0.842 0.500 0.418 Mg
0.999 0.000 0.792 Mg
0.193 0.500 0.097 Ga
0.307 0.000 0.903 Ga
0.693 0.000 0.097 Ga
0.807 0.500 0.903 Ga
```



A relaxed DyNiSn crystal, computed with PBE-GGA.

## Properties
**E_tot**: -5.341 eV per atom
**Mass density**: 8.71 Mg/m³
**DOS at the Fermi energy**: 9.65 states/eV per cell

```
DyNiSn
1.0
7.835 0.000 0.000
0.000 4.528 0.000
-2.621 0.000 7.309
Dy Ni Sn
4 4 4
direct
0.239 0.000 0.216 Dy
0.261 0.500 0.784 Dy
0.739 0.500 0.216 Dy
0.761 0.000 0.784 Dy
0.135 0.500 0.405 Ni
0.365 0.000 0.595 Ni
0.635 0.000 0.405 Ni
0.865 0.500 0.595 Ni
0.000 0.000 0.500 Sn
0.000 0.500 0.000 Sn
0.500 0.000 0.000 Sn
0.500 0.500 0.500 Sn
```



A relaxed CeZrReRh crystal, computed with PBE-GGA.

## Properties
**E_tot**: -8.882 eV per atom
**Mass density**: 11.14 Mg/m³
**DOS at the Fermi energy**: 8.84 states/eV per cell

```
CeZrReRh
1.0
6.771 0.000 0.000
0.000 6.771 0.000
0.000 0.000 6.771
Ce Zr Re Rh
4 4 4 4
direct
0.000 0.000 0.000 Ce
0.000 0.500 0.500 Ce
0.500 0.000 0.500 Ce
0.500 0.500 0.000 Ce
0.000 0.000 0.500 Zr
0.000 0.500 0.000 Zr
0.500 0.000 0.000 Zr
0.500 0.500 0.500 Zr
0.250 0.250 0.750 Re
0.250 0.750 0.250 Re
0.750 0.250 0.250 Re
0.750 0.750 0.750 Re
0.250 0.250 0.250 Rh
0.250 0.750 0.750 Rh
0.750 0.250 0.750 Rh
0.750 0.750 0.250 Rh
```



A relaxed Li2ZnC2 crystal, computed with PBE-GGA.

## Properties
**E_tot**: -4.512 eV per atom
**Mass density**: 3.41 Mg/m³
**DOS at the Fermi energy**: 1.45 states/eV per cell

```
Li2ZnC2
1.0
5.443 0.000 0.000
0.000 5.443 0.000
0.000 0.000 3.394
Li Zn C
4 2 4
direct
0.183 0.317 0.000 Li
0.317 0.817 0.000 Li
0.683 0.183 0.000 Li
0.817 0.683 0.000 Li
0.000 0.000 0.500 Zn
0.500 0.500 0.500 Zn
0.086 0.586 0.500 C
0.414 0.086 0.500 C
0.586 0.914 0.500 C
0.914 0.414 0.500 C
```



A relaxed Pm6PrNd3Er2 crystal, computed with PBE-GGA.

## Properties
**E_tot**: -4.710 eV per atom
**Mass density**: 7.21 Mg/m³
**DOS at the Fermi energy**: 17.23 states/eV per cell

```
Pm6PrNd3Er2
1.0
3.153 -5.460 0.000
3.153 5.460 0.000
-2.105 0.000 11.886
Pm Pr Nd Er
6 1 3 2
direct
0.083 0.417 0.753 Pm
0.248 0.248 0.247 Pm
0.417 0.083 0.753 Pm
0.583 0.917 0.247 Pm
0.752 0.752 0.753 Pm
0.917 0.583 0.247 Pm
0.500 0.500 0.000 Pr
0.000 0.000 0.500 Nd
0.333 0.667 0.500 Nd
0.667 0.333 0.500 Nd
0.167 0.833 0.000 Er
0.833 0.167 0.000 Er
```